# 1
Here is crystalline FeBiTeI2 at its relaxed geometry from Alexandria via LeMat-Bulk. Energies are from PBE-GGA.

Geometry as POSCAR:
```
FeBiTeI2
1.0
5.223 0.000 0.000
0.000 5.223 0.000
0.000 0.000 5.134
I Te Bi Fe
2 1 1 1
direct
0.000 0.500 0.000
0.500 0.000 0.000
0.000 0.000 0.500
0.500 0.500 0.500
0.000 0.000 0.000
```

Properties
SG: P4/mmm, No. 123
Uncorrected formation energy, meV per atom: 398
Crystal system: tetragonal
VASP energy, eV/cell: -16.60

=====

# 2
Here is crystalline Te2AsPb at its relaxed geometry from Alexandria via LeMat-Bulk. Energies are from PBE-GGA.

Geometry as POSCAR:
```
Te2AsPb
1.0
2.399 0.000 8.059
-1.200 2.078 8.059
-1.200 -2.078 8.059
Pb As Te
1 1 2
direct
0.500 0.500 0.500
0.000 0.000 0.000
0.262 0.262 0.262
0.738 0.738 0.738
```

Properties
SG: R-3m, No. 166
Uncorrected formation energy, meV per atom: -41
Crystal system: trigonal
VASP energy, eV/cell: -14.81

=====

# 3
Here is crystalline HoV2Ir at its relaxed geometry from Alexandria via LeMat-Bulk. Energies are from PBE-GGA.

Geometry as POSCAR:
```
HoV2Ir
1.0
4.486 0.000 0.000
2.243 3.885 0.000
2.243 1.295 3.664
Ir Ho V
1 1 2
direct
0.000 0.000 0.000
0.500 0.500 0.500
0.250 0.250 0.250
0.750 0.750 0.750
```

Properties
SG: Fm-3m, No. 225
Calculated formation energy, eV/f.u.: -0.03
Crystal system: cubic
VASP energy, eV/cell: -31.70

=====

# 4
Here is crystalline Pr4Ho3Tm2 at its relaxed geometry from Alexandria via LeMat-Bulk. Energies are from PBE-GGA.

Geometry as POSCAR:
```
Pr4Ho3Tm2
1.0
-0.533 -2.877 -2.118
3.107 0.362 1.807
-10.493 -13.305 20.708
Pr Ho Tm
4 3 2
direct
0.000 0.000 0.549
0.667 0.333 0.430
0.667 0.333 0.213
0.000 0.000 0.768
0.000 0.000 0.980
0.000 0.000 0.320
0.667 0.333 0.658
0.667 0.333 0.082
0.667 0.333 0.877
```

Properties
SG: P3m1, No. 156
Calculated formation energy, eV/f.u.: 0.56
Crystal system: trigonal
VASP energy, eV/cell: -41.23

=====

# 5
Here is crystalline FeCuIrPd at its relaxed geometry from Alexandria via LeMat-Bulk. Energies are from PBE-GGA.

Geometry as POSCAR:
```
FeCuIrPd
1.0
4.262 0.000 0.000
2.131 3.691 0.000
2.131 1.230 3.480
Ir Cu Pd Fe
1 1 1 1
direct
0.500 0.500 0.500
0.250 0.250 0.250
0.000 0.000 0.000
0.750 0.750 0.750
```

Properties
SG: F-43m, No. 216
Calculated formation energy, eV/f.u.: 0.09
Crystal system: cubic
VASP energy, eV/cell: -26.52

=====

# 6
Here is crystalline LiNiP2 at its relaxed geometry from Alexandria via LeMat-Bulk. Energies are from PBE-GGA.

Geometry as POSCAR:
```
LiNiP2
1.0
-0.094 -2.575 3.517
4.195 -1.038 0.577
-1.920 3.901 -0.330
Li Ni P
1 1 2
direct
0.750 0.250 0.500
0.250 0.750 0.500
0.006 0.006 0.000
0.494 0.494 0.000
```

Properties
SG: Immm, No. 71
Calculated formation energy, eV/f.u.: -0.52
Crystal system: orthorhombic
VASP energy, eV/cell: -19.03

=====

# 7
Here is crystalline SrPaS4 at its relaxed geometry from Alexandria via LeMat-Bulk. Energies are from PBE-GGA.

Geometry as POSCAR:
```
SrPaS4
1.0
-2.493 -3.291 0.934
5.103 -3.056 2.848
-1.667 2.878 5.694
Sr Pa S
1 1 4
direct
0.500 0.000 0.000
0.000 0.500 0.500
0.000 0.223 0.223
0.000 0.777 0.777
0.500 0.677 0.323
0.500 0.323 0.677
```

Properties
SG: Cmmm, No. 65
Uncorrected formation energy, meV per atom: -1406
Crystal system: orthorhombic
VASP energy, eV/cell: -36.12

=====

# 8
Here is crystalline PuHg3 at its relaxed geometry from Alexandria via LeMat-Bulk. Energies are from PBE-GGA.

Geometry as POSCAR:
```
PuHg3
1.0
6.738 0.000 -1.954
0.000 5.079 0.000
-2.523 0.000 6.563
Pu Hg
2 6
direct
0.000 0.500 0.000
0.500 0.500 0.500
0.500 0.501 0.000
0.873 0.000 0.629
0.627 0.000 0.871
0.000 0.499 0.500
0.127 0.000 0.371
0.373 0.000 0.129
```

Properties
SG: P2/m, No. 10
Calculated formation energy, eV/f.u.: -0.43
Crystal system: monoclinic
VASP energy, eV/cell: -31.34

=====

# 9
Here is crystalline CaLa5Ag4 at its relaxed geometry from Alexandria via LeMat-Bulk. Energies are from PBE-GGA.

Geometry as POSCAR:
```
CaLa5Ag4
1.0
-0.158 -2.185 3.131
-1.606 -2.805 -2.039
18.848 -7.617 -4.367
Ca La Ag
1 5 4
direct
0.000 0.000 0.000
0.500 0.500 0.134
0.500 0.500 0.315
0.500 0.500 0.500
0.500 0.500 0.685
0.500 0.500 0.866
0.000 0.000 0.222
0.000 0.000 0.407
0.000 0.000 0.593
0.000 0.000 0.778
```

Properties
SG: P4/mmm, No. 123
Calculated formation energy, eV/f.u.: -1.84
Crystal system: tetragonal
VASP energy, eV/cell: -39.88

=====

# 10
Here is crystalline Hf4CoTc2 at its relaxed geometry from Alexandria via LeMat-Bulk. Energies are from PBE-GGA.

Geometry as POSCAR:
```
Hf4CoTc2
1.0
-3.821 3.906 0.956
-1.766 -4.901 1.907
4.725 1.277 2.610
Co Hf Tc
1 4 2
direct
0.000 0.000 0.000
0.500 0.000 0.000
0.500 0.500 0.500
0.000 0.000 0.500
0.000 0.500 0.000
0.500 0.500 0.000
0.500 0.000 0.500
```

Properties
SG: I4/mmm, No. 139
Calculated formation energy, eV/f.u.: -1.89
Crystal system: tetragonal
VASP energy, eV/cell: -69.54

=====

# 11
Here is crystalline Na3SO4F at its relaxed geometry from Alexandria via LeMat-Bulk. Energies are from PBE-GGA.

Geometry as POSCAR:
```
Na3SO4F
1.0
5.789 0.000 0.000
0.000 5.789 0.000
0.000 0.000 5.789
Na S O F
3 1 4 1
direct
0.000 0.500 0.000
0.000 0.000 0.500
0.500 0.000 0.000
0.000 0.000 0.000
0.149 0.851 0.149
0.851 0.149 0.149
0.149 0.149 0.851
0.851 0.851 0.851
0.500 0.500 0.500
```

Properties
SG: P-43m, No. 215
Uncorrected formation energy, meV per atom: -1691
Crystal system: cubic
VASP energy, eV/cell: -45.01

=====

# 12
Here is crystalline TbNdCo4 at its relaxed geometry from Alexandria via LeMat-Bulk. Energies are from PBE-GGA.

Geometry as POSCAR:
```
TbNdCo4
1.0
4.141 -0.002 0.000
0.002 3.874 0.000
0.000 0.000 6.717
Tb Nd Co
1 1 4
direct
0.999 0.497 0.998
0.999 0.997 0.498
0.499 0.997 0.163
0.499 0.997 0.834
0.499 0.497 0.667
0.499 0.497 0.329
```

Properties
SG: Pmmm, No. 47
Calculated formation energy, eV/f.u.: -0.84
Crystal system: orthorhombic
VASP energy, eV/cell: -38.66

=====

# 13
Here is crystalline Rb4Tb3MnS8 at its relaxed geometry from Alexandria via LeMat-Bulk. Energies are from PBE-GGA.

Geometry as POSCAR:
```
Rb4Tb3MnS8
1.0
-4.887 -5.675 -2.920
6.785 -3.389 -4.770
1.134 0.636 7.930
Rb Tb Mn S
4 3 1 8
direct
0.500 0.000 0.000
0.500 0.000 0.500
0.000 0.000 0.000
0.000 0.000 0.500
0.500 0.500 0.000
0.500 0.500 0.500
0.000 0.500 0.500
0.000 0.500 0.000
0.219 0.685 0.966
0.219 0.685 0.438
0.268 0.305 0.536
0.747 0.685 0.966
0.253 0.315 0.034
0.732 0.695 0.464
0.781 0.315 0.562
0.781 0.315 0.034
```

Properties
SG: R-3m, No. 166
Uncorrected formation energy, meV per atom: -1534
Crystal system: trigonal
VASP energy, eV/cell: -84.50

=====

# 14
Here is crystalline PmCu6 at its relaxed geometry from Alexandria via LeMat-Bulk. Energies are from PBE-GGA.

Geometry as POSCAR:
```
PmCu6
1.0
5.107 0.000 0.000
0.000 8.012 0.000
0.000 0.000 10.072
Pm Cu
4 24
direct
0.750 0.240 0.936
0.250 0.760 0.064
0.750 0.740 0.564
0.250 0.260 0.436
0.750 0.601 0.018
0.250 0.399 0.982
0.750 0.101 0.482
0.250 0.899 0.518
0.006 0.433 0.190
0.506 0.567 0.810
0.494 0.933 0.310
0.994 0.067 0.690
0.994 0.567 0.810
0.494 0.433 0.190
0.506 0.067 0.690
0.006 0.933 0.310
0.250 0.146 0.144
0.750 0.854 0.856
0.250 0.646 0.356
0.750 0.354 0.644
0.250 0.820 0.758
0.750 0.180 0.242
0.250 0.320 0.742
0.750 0.680 0.258
0.250 0.567 0.597
0.750 0.433 0.403
0.250 0.067 0.903
0.750 0.933 0.097
```

Properties
SG: Pnma, No. 62
Calculated formation energy, eV/f.u.: -1.01
Crystal system: orthorhombic
VASP energy, eV/cell: -121.36

=====

# 15
Here is crystalline BaNaI3 at its relaxed geometry from Alexandria via LeMat-Bulk. Energies are from PBE-GGA.

Geometry as POSCAR:
```
BaNaI3
1.0
-4.893 -5.984 3.878
7.827 -2.173 6.523
-5.315 7.701 5.178
Ba Na I
4 4 12
direct
0.743 0.627 0.150
0.257 0.373 0.850
0.243 0.373 0.350
0.757 0.627 0.650
0.214 0.904 0.541
0.786 0.096 0.459
0.714 0.096 0.959
0.286 0.904 0.041
0.148 0.038 0.309
0.852 0.962 0.691
0.648 0.962 0.191
0.352 0.038 0.809
0.485 0.677 0.423
0.515 0.323 0.577
0.985 0.323 0.077
0.015 0.677 0.923
0.008 0.655 0.398
0.992 0.345 0.602
0.508 0.345 0.102
0.492 0.655 0.898
```

Properties
SG: P2_1/c, No. 14
Uncorrected formation energy, meV per atom: -1542
Crystal system: monoclinic
VASP energy, eV/cell: -62.40

=====

# 16
Here is crystalline Ce2PmEr3S6 at its relaxed geometry from Alexandria via LeMat-Bulk. Energies are from PBE-GGA.

Geometry as POSCAR:
```
Ce2PmEr3S6
1.0
6.790 -0.003 -0.002
-3.396 5.879 -0.002
-1.134 -1.963 6.535
Ce Pm Er S
2 1 3 6
direct
0.334 0.666 0.000
0.666 0.334 0.000
0.000 0.000 0.000
0.165 0.835 0.500
0.835 0.165 0.500
0.500 0.500 0.500
0.911 0.577 0.734
0.754 0.754 0.264
0.089 0.423 0.266
0.577 0.911 0.734
0.246 0.246 0.736
0.423 0.089 0.266
```

Properties
SG: C2/m, No. 12
Uncorrected formation energy, meV per atom: -2012
Crystal system: monoclinic
VASP energy, eV/cell: -79.21

=====

# 17
Here is crystalline BeGa at its relaxed geometry from Alexandria via LeMat-Bulk. Energies are from PBE-GGA.

Geometry as POSCAR:
```
BeGa
1.0
2.638 0.000 0.000
0.000 2.638 0.000
0.000 0.000 15.433
Be Ga
4 4
direct
0.000 0.000 0.208
0.000 0.000 0.792
0.500 0.500 0.708
0.500 0.500 0.292
0.000 0.000 0.588
0.000 0.000 0.412
0.500 0.500 0.088
0.500 0.500 0.912
```

Properties
SG: I4/mmm, No. 139
Calculated formation energy, eV/f.u.: 0.40
Crystal system: tetragonal
VASP energy, eV/cell: -25.42

=====

# 18
Here is crystalline Co2SbBr at its relaxed geometry from Alexandria via LeMat-Bulk. Energies are from PBE-GGA.

Geometry as POSCAR:
```
Co2SbBr
1.0
7.044 -0.036 -0.022
6.049 3.609 -0.022
6.049 1.651 3.210
Br Co Sb
1 2 1
direct
0.719 0.719 0.719
0.974 0.974 0.974
0.269 0.269 0.269
0.538 0.538 0.538
```

Properties
SG: R3m, No. 160
Uncorrected formation energy, meV per atom: 186
Crystal system: trigonal
VASP energy, eV/cell: -19.26

=====

# 19
Here is crystalline Ca3Nd2Mg4 at its relaxed geometry from Alexandria via LeMat-Bulk. Energies are from PBE-GGA.

Geometry as POSCAR:
```
Ca3Nd2Mg4
1.0
5.578 0.001 0.001
2.789 4.828 0.184
-0.002 -0.396 10.557
Ca Nd Mg
3 2 4
direct
0.333 0.333 0.423
0.000 0.000 0.000
0.667 0.667 0.577
0.333 0.333 0.795
0.667 0.667 0.205
0.667 0.667 0.894
0.000 0.000 0.335
0.000 0.000 0.665
0.333 0.333 0.106
```

Properties
SG: P-3m1, No. 164
Calculated formation energy, eV/f.u.: -0.39
Crystal system: trigonal
VASP energy, eV/cell: -22.30

=====

# 20
Here is crystalline Na2ErMnSe4 at its relaxed geometry from Alexandria via LeMat-Bulk. Energies are from PBE-GGA.

Geometry as POSCAR:
```
Na2ErMnSe4
1.0
3.994 0.000 0.000
0.000 6.805 0.110
0.000 -2.391 6.958
Na Er Mn Se
2 1 1 4
direct
0.500 0.000 0.500
0.000 0.500 0.500
0.000 0.000 0.000
0.500 0.500 0.000
0.500 0.262 0.220
0.500 0.738 0.780
0.000 0.278 0.786
0.000 0.722 0.214
```

Properties
SG: P2/m, No. 10
Uncorrected formation energy, meV per atom: -1169
Crystal system: monoclinic
VASP energy, eV/cell: -39.66

=====

# 21
Here is crystalline Cs3LaTl2I9 at its relaxed geometry from Alexandria via LeMat-Bulk. Energies are from PBE-GGA.

Geometry as POSCAR:
```
Cs3LaTl2I9
1.0
-4.962 0.126 7.650
4.852 -7.411 -2.166
8.749 4.089 5.607
Cs La Tl I
3 1 2 9
direct
0.333 0.667 0.683
0.000 0.000 0.000
0.667 0.333 0.317
0.000 0.000 0.500
0.333 0.667 0.153
0.667 0.333 0.847
0.836 0.164 0.661
0.836 0.672 0.661
0.328 0.164 0.661
0.672 0.836 0.339
0.164 0.328 0.339
0.164 0.836 0.339
0.500 0.000 0.000
0.000 0.500 0.000
0.500 0.500 0.000
```

Properties
SG: P-3m1, No. 164
Uncorrected formation energy, meV per atom: -1172
Crystal system: trigonal
VASP energy, eV/cell: -43.76

=====

# 22
Here is crystalline AcPm2HoTl4 at its relaxed geometry from Alexandria via LeMat-Bulk. Energies are from PBE-GGA.

Geometry as POSCAR:
```
AcPm2HoTl4
1.0
5.545 0.000 0.000
2.772 4.802 0.000
2.772 1.601 9.137
Ac Pm Ho Tl
1 2 1 4
direct
0.000 0.000 0.000
0.752 0.752 0.744
0.248 0.248 0.256
0.500 0.500 0.500
0.380 0.380 0.860
0.872 0.872 0.385
0.128 0.128 0.615
0.620 0.620 0.140
```

Properties
SG: R-3m, No. 166
Calculated formation energy, eV/f.u.: -2.69
Crystal system: trigonal
VASP energy, eV/cell: -30.34

=====

# 23
Here is crystalline ZrCrPb at its relaxed geometry from Alexandria via LeMat-Bulk. Energies are from PBE-GGA.

Geometry as POSCAR:
```
ZrCrPb
1.0
-1.337 1.842 2.376
-1.895 -2.017 -1.781
1.141 -5.194 4.669
Cr Pb Zr
1 1 1
direct
0.000 0.000 0.987
0.667 0.333 0.321
0.333 0.667 0.693
```

Properties
SG: P3m1, No. 156
Calculated formation energy, eV/f.u.: 1.25
Crystal system: trigonal
VASP energy, eV/cell: -20.63